No. 1
Material: Sm5DyHo2
Method: DFT, PBE
State: relaxed

```
Sm5DyHo2
1.0
-1.8912 -2.5490 -3.9560
2.3792 -6.1609 2.8324
-12.4569 -1.5992 6.9854
Sm Dy Ho
10 2 4
direct
0.0000 0.0000 0.0000
0.0000 0.5000 0.5000
0.0000 0.4996 0.7507
0.0000 0.5004 0.2493
0.0000 0.0004 0.2507
0.0000 0.9996 0.7493
0.5000 0.2502 0.8755
0.5000 0.7498 0.1245
0.5000 0.2498 0.3755
0.5000 0.7502 0.6245
0.0000 0.0000 0.5000
0.0000 0.5000 0.0000
0.5000 0.2494 0.6244
0.5000 0.7506 0.3756
0.5000 0.2506 0.1244
0.5000 0.7494 0.8756
```

magnetization = 0.00 μB per cell
calculated total energy = -4.653 eV per atom
formation energy = 0.016 eV per atom

No. 2
Material: Ac2Tb5Sm5
Method: DFT, PBE
State: relaxed

```
Ac2Tb5Sm5
1.0
0.0803 -1.3490 3.4278
9.2226 1.5578 2.3773
4.1941 11.7703 6.5142
Ac Tb Sm
2 5 5
direct
0.9153 0.4178 0.7516
0.0847 0.5822 0.2484
0.8317 0.8375 0.4991
0.2473 0.7594 0.7460
0.7527 0.2406 0.2540
0.1683 0.1625 0.5009
0.0000 0.0000 0.0000
0.5000 0.5000 0.5000
0.3321 0.3303 0.0056
0.4137 0.9221 0.2506
0.5863 0.0779 0.7494
0.6679 0.6697 0.9944
```

magnetization = 0.00 μB per cell
calculated total energy = -4.548 eV per atom
formation energy = 0.032 eV per atom

No. 3
Material: NaAg6Pd6
Method: DFT, PBE
State: relaxed

```
NaAg6Pd6
1.0
4.9439 0.0000 1.9761
2.4530 6.6429 1.0354
0.0067 -0.1080 7.1558
Na Ag Pd
1 6 6
direct
0.0000 0.0000 0.0000
0.3487 0.6513 0.6513
0.6513 0.3487 0.3487
0.0000 0.3475 0.6525
0.0000 0.6525 0.3475
0.3031 0.1969 0.1969
0.6969 0.8031 0.8031
0.0000 0.5000 0.0000
0.5000 0.5000 0.0000
0.0000 0.0000 0.5000
0.5000 0.0000 0.5000
0.5000 0.7675 0.2325
0.5000 0.2325 0.7675
```

magnetization = 0.00 μB per cell
calculated total energy = -3.841 eV per atom
formation energy = -0.026 eV per atom

No. 4
Material: MnAsIr2
Method: DFT, PBE
State: relaxed

```
MnAsIr2
1.0
-4.1137 0.9459 -2.3455
-3.3596 -3.3742 0.8040
2.8433 2.6112 2.9009
As Ir Mn
1 2 1
direct
0.7500 0.2500 0.5000
0.0000 0.0000 0.0000
0.2500 0.7500 0.5000
0.5000 0.5000 0.0000
```

magnetization = 3.03 μB per cell
calculated total energy = -7.764 eV per atom
formation energy = 0.122 eV per atom

Q: Look up the formation energy of the fourth one.
A: 0.122 eV per atom

Q: magnetization of number 3 (NaAg6Pd6)?
A: 0.00 μB per cell

Q: What is the calculated total energy in the third record?
A: -3.841 eV per atom

Q: What is the formation energy in the first record?
A: 0.016 eV per atom